Entry 1:
## Pu2NpUN4 (GGA-PBE)

Data for Pu2NpUN4 after structural relaxation.

Cell: 3.454 5.978 5.996 Å, 109.48 90.00 90.00°
Positions (direct):
Pu (0.500, 0.000, 0.500)
Pu (0.000, 0.500, 0.500)
Np (0.000, 0.000, 0.000)
U (0.500, 0.500, 0.000)
N (0.500, 0.252, 0.238)
N (0.500, 0.748, 0.762)
N (0.000, 0.261, 0.765)
N (0.000, 0.739, 0.235)

Volume   14.6 Å³ per atom
E   -12.008 eV/atom
Energy relative to the elements, uncorrected   -1.234 eV/atom

***

Entry 2:
## Pu2NpU3N6 (GGA-PBE)

Data for Pu2NpU3N6 after structural relaxation.

Cell: 5.994 5.994 5.948 Å, 99.67 99.67 119.99°
Positions (direct):
Pu (0.333, 0.667, 0.000)
Pu (0.667, 0.333, 0.000)
Np (0.000, 0.000, 0.000)
U (0.167, 0.833, 0.500)
U (0.833, 0.167, 0.500)
U (0.500, 0.500, 0.500)
N (0.913, 0.583, 0.739)
N (0.757, 0.757, 0.262)
N (0.087, 0.417, 0.261)
N (0.583, 0.913, 0.739)
N (0.243, 0.243, 0.738)
N (0.417, 0.087, 0.261)

Volume   14.5 Å³ per atom
E   -11.723 eV/atom
Energy relative to the elements, uncorrected   -1.272 eV/atom

***

Entry 3:
## Pu3NpU2N6 (GGA-PBE)

Data for Pu3NpU2N6 after structural relaxation.

Cell: 5.989 5.989 5.991 Å, 99.56 99.56 120.15°
Positions (direct):
Pu (0.166, 0.834, 0.500)
Pu (0.834, 0.166, 0.500)
Pu (0.500, 0.500, 0.500)
Np (0.000, 0.000, 0.000)
U (0.334, 0.666, 0.000)
U (0.666, 0.334, 0.000)
N (0.925, 0.584, 0.767)
N (0.743, 0.743, 0.233)
N (0.075, 0.416, 0.233)
N (0.584, 0.925, 0.767)
N (0.257, 0.257, 0.767)
N (0.416, 0.075, 0.233)

Volume   14.6 Å³ per atom
E   -11.954 eV/atom
Energy relative to the elements, uncorrected   -1.249 eV/atom

***

Entry 4:
## PuNp2U3N6 (GGA-PBE)

Data for PuNp2U3N6 after structural relaxation.

Cell: 5.989 5.989 5.932 Å, 99.70 99.70 120.01°
Positions (direct):
Pu (0.000, 0.000, 0.000)
Np (0.333, 0.667, 0.000)
Np (0.667, 0.333, 0.000)
U (0.166, 0.834, 0.500)
U (0.834, 0.166, 0.500)
U (0.500, 0.500, 0.500)
N (0.914, 0.578, 0.741)
N (0.750, 0.750, 0.258)
N (0.086, 0.422, 0.259)
N (0.578, 0.914, 0.741)
N (0.250, 0.250, 0.742)
N (0.422, 0.086, 0.259)

Volume   14.5 Å³ per atom
E   -11.584 eV/atom
Energy relative to the elements, uncorrected   -1.249 eV/atom